[1]
# HgTe2PbN | Alexandria via LeMat-Bulk | PBE | relaxed
# Total energy in eV/atom: -2.7060
# Relative energy among the computed polymorphs in meV per atom: 165
# Formation energy without anion corrections in eV/atom: 1.02
data_HgTe2PbN
_chemical_formula_sum 'Hg1 Te2 Pb1 N1'
_symmetry_space_group_name_H-M 'P 4/m m m'
_symmetry_Int_Tables_number 123
_symmetry_space_group_name_Hall '-P 4 2'
_cell_length_a 6.0102
_cell_length_b 6.0102
_cell_length_c 4.4472
_cell_angle_alpha 90.00
_cell_angle_beta 90.00
_cell_angle_gamma 90.00
loop_
_atom_site_label
_atom_site_type_symbol
_atom_site_fract_x
_atom_site_fract_y
_atom_site_fract_z
Hg1 Hg 0.0000 0.0000 0.0000
Te1 Te 0.0000 0.5000 0.5000
Pb1 Pb 0.5000 0.5000 0.5000
N1 N 0.5000 0.5000 0.0000

[2]
# CuPdRhPb | Alexandria via LeMat-Bulk | PBE | relaxed
# Total energy in eV/atom: -5.1410
# Energy of formation from the pure elements in eV/atom: -0.054
data_CuPdRhPb
_chemical_formula_sum 'Cu4 Pd4 Rh4 Pb4'
_symmetry_space_group_name_H-M 'F -4 3 m'
_symmetry_Int_Tables_number 216
_symmetry_space_group_name_Hall 'F -4 2 3'
_cell_length_a 6.4019
_cell_length_b 6.4019
_cell_length_c 6.4019
_cell_angle_alpha 90.00
_cell_angle_beta 90.00
_cell_angle_gamma 90.00
loop_
_atom_site_label
_atom_site_type_symbol
_atom_site_fract_x
_atom_site_fract_y
_atom_site_fract_z
Cu1 Cu 0.0000 0.0000 0.0000
Pd1 Pd 0.2500 0.2500 0.7500
Rh1 Rh 0.2500 0.2500 0.2500
Pb1 Pb 0.0000 0.0000 0.5000

[3]
# ScCrIn2 | Alexandria via LeMat-Bulk | PBE | relaxed
# Total energy in eV/atom: -5.3964
# Relative energy among the computed polymorphs in meV per atom: 10
# Energy of formation from the pure elements in eV/atom: -0.038
data_ScCrIn2
_chemical_formula_sum 'Sc4 Cr4 In8'
_symmetry_space_group_name_H-M 'F m m m'
_symmetry_Int_Tables_number 69
_symmetry_space_group_name_Hall '-F 2 2'
_cell_length_a 6.3387
_cell_length_b 6.3569
_cell_length_c 8.1478
_cell_angle_alpha 90.00
_cell_angle_beta 90.00
_cell_angle_gamma 90.00
loop_
_atom_site_label
_atom_site_type_symbol
_atom_site_fract_x
_atom_site_fract_y
_atom_site_fract_z
Sc1 Sc 0.0000 0.0000 0.0000
Cr1 Cr 0.0000 0.0000 0.5000
In1 In 0.2500 0.2500 0.2500

[4]
# Li3CdAg6 | Alexandria via LeMat-Bulk | PBE | relaxed
# Total energy in eV/atom: -2.4605
# Relative energy among the computed polymorphs in meV per atom: 0
# Energy of formation from the pure elements in eV/atom: -0.084
data_Li3CdAg6
_chemical_formula_sum 'Li6 Cd2 Ag12'
_symmetry_space_group_name_H-M 'P 1 21/c 1'
_symmetry_Int_Tables_number 14
_cell_length_a 4.6542
_cell_length_b 8.4851
_cell_length_c 9.6714
_cell_angle_alpha 90.00
_cell_angle_beta 91.12
_cell_angle_gamma 90.00
loop_
_symmetry_equiv_pos_as_xyz
'x,y,z'
'-x,-y,-z'
'-x,y+1/2,-z+1/2'
'x,-y+1/2,z+1/2'
loop_
_atom_site_label
_atom_site_type_symbol
_atom_site_fract_x
_atom_site_fract_y
_atom_site_fract_z
Li1 Li 0.0000 0.0000 0.0000
Li2 Li 0.0072 0.1483 0.3081
Cd1 Cd 0.5000 0.0000 0.5000
Ag1 Ag 0.0036 0.1537 0.5965
Ag2 Ag 0.4873 0.6219 0.7184
Ag3 Ag 0.4981 0.6563 0.4325

[5]
# Sb2TeMoSe | Alexandria via LeMat-Bulk | PBE | relaxed
# Total energy in eV/atom: -3.9470
# Relative energy among the computed polymorphs in meV per atom: 765
# Formation energy without anion corrections in eV/atom: 1.19
data_Sb2TeMoSe
_chemical_formula_sum 'Sb2 Te1 Mo1 Se1'
_symmetry_space_group_name_H-M 'P 4/m m m'
_symmetry_Int_Tables_number 123
_symmetry_space_group_name_Hall '-P 4 2'
_cell_length_a 5.3713
_cell_length_b 5.3713
_cell_length_c 5.3233
_cell_angle_alpha 90.00
_cell_angle_beta 90.00
_cell_angle_gamma 90.00
loop_
_atom_site_label
_atom_site_type_symbol
_atom_site_fract_x
_atom_site_fract_y
_atom_site_fract_z
Sb1 Sb 0.0000 0.5000 0.0000
Te1 Te 0.0000 0.0000 0.5000
Mo1 Mo 0.5000 0.5000 0.5000
Se1 Se 0.0000 0.0000 0.0000

[6]
# Pm3CuIr2 | Alexandria via LeMat-Bulk | PBE | relaxed
# Total energy in eV/atom: -6.5802
# Relative energy among the computed polymorphs in meV per atom: 0
# Energy of formation from the pure elements in eV/atom: -0.569
data_Pm3CuIr2
_chemical_formula_sum 'Pm12 Cu4 Ir8'
_symmetry_space_group_name_H-M 'P n m a'
_symmetry_Int_Tables_number 62
_cell_length_a 11.6605
_cell_length_b 4.1717
_cell_length_c 11.5533
_cell_angle_alpha 90.00
_cell_angle_beta 90.00
_cell_angle_gamma 90.00
loop_
_symmetry_equiv_pos_as_xyz
'x,y,z'
'-x,-y,-z'
'-x+1/2,-y,z+1/2'
'x+1/2,y,-z+1/2'
'x+1/2,-y+1/2,-z+1/2'
'-x+1/2,y+1/2,z+1/2'
'-x,y+1/2,-z'
'x,-y+1/2,z'
loop_
_atom_site_label
_atom_site_type_symbol
_atom_site_fract_x
_atom_site_fract_y
_atom_site_fract_z
Pm1 Pm 0.0528 0.2500 0.1235
Pm2 Pm 0.1211 0.7500 0.5638
Pm3 Pm 0.2027 0.2500 0.8134
Cu1 Cu 0.1283 0.2500 0.3751
Ir1 Ir 0.0175 0.7500 0.3149
Ir2 Ir 0.1819 0.7500 0.9916

[7]
# Ce2Y3TmTe6 | Alexandria via LeMat-Bulk | PBE | relaxed
# Total energy in eV/atom: -5.8618
# Formation energy without anion corrections in eV/atom: -1.31
data_Ce2Y3TmTe6
_chemical_formula_sum 'Ce4 Y6 Tm2 Te12'
_symmetry_space_group_name_H-M 'C 1 2/m 1'
_symmetry_Int_Tables_number 12
_cell_length_a 19.2160
_cell_length_b 4.3582
_cell_length_c 8.8761
_cell_angle_alpha 90.00
_cell_angle_beta 103.97
_cell_angle_gamma 90.00
loop_
_symmetry_equiv_pos_as_xyz
'x,y,z'
'-x,-y,-z'
'-x,y,-z'
'x,-y,z'
'x+1/2,y+1/2,z'
'-x+1/2,-y+1/2,-z'
'-x+1/2,y+1/2,-z'
'x+1/2,-y+1/2,z'
loop_
_atom_site_label
_atom_site_type_symbol
_atom_site_fract_x
_atom_site_fract_y
_atom_site_fract_z
Ce1 Ce 0.1685 0.0000 0.3377
Y1 Y 0.0000 0.5000 0.5000
Y2 Y 0.1701 0.0000 0.8348
Tm1 Tm 0.0000 0.5000 0.0000
Te1 Te 0.0030 0.0000 0.7560
Te2 Te 0.1633 0.5000 0.5903
Te3 Te 0.1635 0.5000 0.0760

[8]
# ErTlAgTe2 | Alexandria via LeMat-Bulk | PBE | relaxed
# Total energy in eV/atom: -3.7317
# Formation energy without anion corrections in eV/atom: -0.52
data_ErTlAgTe2
_chemical_formula_sum 'Er2 Tl2 Ag2 Te4'
_symmetry_space_group_name_H-M 'P 1 2/c 1'
_symmetry_Int_Tables_number 13
_cell_length_a 8.1953
_cell_length_b 4.9262
_cell_length_c 8.3568
_cell_angle_alpha 90.00
_cell_angle_beta 98.08
_cell_angle_gamma 90.00
loop_
_symmetry_equiv_pos_as_xyz
'x,y,z'
'-x,-y,-z'
'-x,y,-z+1/2'
'x,-y,z+1/2'
loop_
_atom_site_label
_atom_site_type_symbol
_atom_site_fract_x
_atom_site_fract_y
_atom_site_fract_z
Er1 Er 0.0000 0.0040 0.2500
Tl1 Tl 0.5000 0.3776 0.7500
Ag1 Ag 0.0000 0.5000 0.0000
Te1 Te 0.2585 0.1146 0.0342

[9]
# KAg2Se | Alexandria via LeMat-Bulk | PBE | relaxed
# Total energy in eV/atom: -2.7582
# Formation energy without anion corrections in eV/atom: -0.19
data_KAg2Se
_chemical_formula_sum 'K3 Ag6 Se3'
_symmetry_space_group_name_H-M 'R -3 m'
_symmetry_Int_Tables_number 166
_symmetry_space_group_name_Hall '-R 3 2"'
_cell_length_a 4.8912
_cell_length_b 4.8912
_cell_length_c 17.2215
_cell_angle_alpha 90.00
_cell_angle_beta 90.00
_cell_angle_gamma 120.00
loop_
_atom_site_label
_atom_site_type_symbol
_atom_site_fract_x
_atom_site_fract_y
_atom_site_fract_z
K1 K 0.0000 0.0000 0.0000
Ag1 Ag 0.0000 0.0000 0.1864
Se1 Se 0.0000 0.0000 0.5000

[10]
# Cs2HoAlO4 | Alexandria via LeMat-Bulk | PBE | relaxed
# Total energy in eV/atom: -6.0416
# Formation energy without anion corrections in eV/atom: -2.31
data_Cs2HoAlO4
_chemical_formula_sum 'Cs16 Ho8 Al8 O32'
_symmetry_space_group_name_H-M 'F d d d'
_symmetry_Int_Tables_number 70
_cell_length_a 5.5271
_cell_length_b 12.7699
_cell_length_c 23.5100
_cell_angle_alpha 90.00
_cell_angle_beta 90.00
_cell_angle_gamma 90.00
loop_
_symmetry_equiv_pos_as_xyz
'x,y,z'
'-x,-y,-z'
'-x+1/4,-y+1/4,z'
'x+1/4,y+1/4,-z'
'x,-y+1/4,-z+1/4'
'-x,y+1/4,z+1/4'
'-x+1/4,y,-z+1/4'
'x+1/4,-y,z+1/4'
'x,y+1/2,z+1/2'
'-x,-y+1/2,-z+1/2'
'-x+1/4,-y+3/4,z+1/2'
'x+1/4,y+3/4,-z+1/2'
'x,-y+3/4,-z+3/4'
'-x,y+3/4,z+3/4'
'-x+1/4,y+1/2,-z+3/4'
'x+1/4,-y+1/2,z+3/4'
'x+1/2,y,z+1/2'
'-x+1/2,-y,-z+1/2'
'-x+3/4,-y+1/4,z+1/2'
'x+3/4,y+1/4,-z+1/2'
'x+1/2,-y+1/4,-z+3/4'
'-x+1/2,y+1/4,z+3/4'
'-x+3/4,y,-z+3/4'
'x+3/4,-y,z+3/4'
'x+1/2,y+1/2,z'
'-x+1/2,-y+1/2,-z'
'-x+3/4,-y+3/4,z'
'x+3/4,y+3/4,-z'
'x+1/2,-y+3/4,-z+1/4'
'-x+1/2,y+3/4,z+1/4'
'-x+3/4,y+1/2,-z+1/4'
'x+3/4,-y+1/2,z+1/4'
loop_
_atom_site_label
_atom_site_type_symbol
_atom_site_fract_x
_atom_site_fract_y
_atom_site_fract_z
Cs1 Cs 0.1250 0.1250 0.3039
Ho1 Ho 0.1250 0.1250 0.1250
Al1 Al 0.1250 0.1250 0.6250
O1 O 0.0843 0.2936 0.8356

[11]
# NpAlZnCu | Alexandria via LeMat-Bulk | PBE | relaxed
# Total energy in eV/atom: -5.4540
# Energy of formation from the pure elements in eV/atom: 0.059
data_NpAlZnCu
_chemical_formula_sum 'Np4 Al4 Zn4 Cu4'
_symmetry_space_group_name_H-M 'F -4 3 m'
_symmetry_Int_Tables_number 216
_symmetry_space_group_name_Hall 'F -4 2 3'
_cell_length_a 6.5834
_cell_length_b 6.5834
_cell_length_c 6.5834
_cell_angle_alpha 90.00
_cell_angle_beta 90.00
_cell_angle_gamma 90.00
loop_
_atom_site_label
_atom_site_type_symbol
_atom_site_fract_x
_atom_site_fract_y
_atom_site_fract_z
Np1 Np 0.0000 0.0000 0.0000
Al1 Al 0.0000 0.0000 0.5000
Zn1 Zn 0.2500 0.2500 0.7500
Cu1 Cu 0.2500 0.2500 0.2500

[12]
# ReAg2As | Alexandria via LeMat-Bulk | PBE | relaxed
# Total energy in eV/atom: -5.1573
# Energy of formation from the pure elements in eV/atom: 0.543
data_ReAg2As
_chemical_formula_sum 'Re2 Ag4 As2'
_symmetry_space_group_name_H-M 'C m m m'
_symmetry_Int_Tables_number 65
_symmetry_space_group_name_Hall '-C 2 2'
_cell_length_a 3.7590
_cell_length_b 3.9976
_cell_length_c 9.1877
_cell_angle_alpha 90.00
_cell_angle_beta 90.00
_cell_angle_gamma 90.00
loop_
_atom_site_label
_atom_site_type_symbol
_atom_site_fract_x
_atom_site_fract_y
_atom_site_fract_z
Re1 Re 0.0000 0.0000 0.0000
Ag1 Ag 0.0000 0.5000 0.2407
As1 As 0.0000 0.0000 0.5000